# Li2ZrAu (PBE, optimized geometry)
# Excess energy over the best structure of this formula in the dataset ... 52 kJ/mol of formula units
# ΔH_f (0 K) ... -86.6 meV per atom
# Crystal system ... cubic
data_Li2ZrAu
_chemical_formula_sum 'Li2 Zr1 Au1'
_symmetry_space_group_name_H-M 'P 1'
_symmetry_Int_Tables_number 1
_symmetry_space_group_name_Hall 'P 1'
_cell_length_a 4.4817
_cell_length_b 4.4817
_cell_length_c 4.4817
_cell_angle_alpha 60.00
_cell_angle_beta 60.00
_cell_angle_gamma 60.00
loop_
_atom_site_label
_atom_site_type_symbol
_atom_site_fract_x
_atom_site_fract_y
_atom_site_fract_z
_atom_site_occupancy
Au1 Au 0.5000 0.5000 0.5000 1
Zr1 Zr 0.0000 0.0000 0.0000 1
Li1 Li 0.2500 0.2500 0.2500 1
Li2 Li 0.7500 0.7500 0.7500 1

# LiZrAu2 (PBE, optimized geometry)
# Excess energy over the best structure of this formula in the dataset ... 85 kJ/mol of formula units
# ΔH_f (0 K) ... -310.7 meV per atom
# Crystal system ... tetragonal
data_LiZrAu2
_chemical_formula_sum 'Li1 Zr1 Au2'
_symmetry_space_group_name_H-M 'P 1'
_symmetry_Int_Tables_number 1
_symmetry_space_group_name_Hall 'P 1'
_cell_length_a 3.5976
_cell_length_b 3.5976
_cell_length_c 5.8445
_cell_angle_alpha 90.00
_cell_angle_beta 90.00
_cell_angle_gamma 90.00
loop_
_atom_site_label
_atom_site_type_symbol
_atom_site_fract_x
_atom_site_fract_y
_atom_site_fract_z
_atom_site_occupancy
Au1 Au 0.0000 0.0000 0.9855 1
Au2 Au 0.5000 0.5000 0.2947 1
Li1 Li 0.0000 0.0000 0.4425 1
Zr1 Zr 0.5000 0.5000 0.7772 1

# LiZrAu4 (PBE, optimized geometry)
# Excess energy over the best structure of this formula in the dataset ... 0 kJ/mol of formula units
# ΔH_f (0 K) ... -493.4 meV per atom
# Crystal system ... monoclinic
data_LiZrAu4
_chemical_formula_sum 'Li1 Zr1 Au4'
_symmetry_space_group_name_H-M 'P 1'
_symmetry_Int_Tables_number 1
_symmetry_space_group_name_Hall 'P 1'
_cell_length_a 3.5496
_cell_length_b 5.0621
_cell_length_c 7.0879
_cell_angle_alpha 102.53
_cell_angle_beta 75.50
_cell_angle_gamma 69.48
loop_
_atom_site_label
_atom_site_type_symbol
_atom_site_fract_x
_atom_site_fract_y
_atom_site_fract_z
_atom_site_occupancy
Li1 Li 0.0000 0.0000 0.0000 1
Zr1 Zr 0.5000 0.5000 0.5000 1
Au1 Au 0.8175 0.5254 0.8396 1
Au2 Au 0.3426 0.9929 0.3220 1
Au3 Au 0.1825 0.4746 0.1604 1
Au4 Au 0.6574 0.0071 0.6780 1

# LiZrAu (PBE, optimized geometry)
# Excess energy over the best structure of this formula in the dataset ... 9 kJ/mol of formula units
# ΔH_f (0 K) ... -273.9 meV per atom
# Crystal system ... orthorhombic
data_LiZrAu
_chemical_formula_sum 'Li1 Zr1 Au1'
_symmetry_space_group_name_H-M 'P 1'
_symmetry_Int_Tables_number 1
_symmetry_space_group_name_Hall 'P 1'
_cell_length_a 5.1103
_cell_length_b 5.1103
_cell_length_c 5.1103
_cell_angle_alpha 144.88
_cell_angle_beta 134.49
_cell_angle_gamma 58.75
loop_
_atom_site_label
_atom_site_type_symbol
_atom_site_fract_x
_atom_site_fract_y
_atom_site_fract_z
_atom_site_occupancy
Au1 Au 0.9902 0.9902 0.0000 1
Li1 Li 0.3466 0.3466 0.0000 1
Zr1 Zr 0.6632 0.6632 0.0000 1

# LiZrAu2 (PBE, optimized geometry)
# Excess energy over the best structure of this formula in the dataset ... 44 kJ/mol of formula units
# ΔH_f (0 K) ... -418.9 meV per atom
# Crystal system ... tetragonal
data_LiZrAu2
_chemical_formula_sum 'Li1 Zr1 Au2'
_symmetry_space_group_name_H-M 'P 1'
_symmetry_Int_Tables_number 1
_symmetry_space_group_name_Hall 'P 1'
_cell_length_a 5.0308
_cell_length_b 5.0308
_cell_length_c 5.0308
_cell_angle_alpha 131.01
_cell_angle_beta 131.01
_cell_angle_gamma 71.79
loop_
_atom_site_label
_atom_site_type_symbol
_atom_site_fract_x
_atom_site_fract_y
_atom_site_fract_z
_atom_site_occupancy
Au1 Au 0.0000 0.0000 0.0000 1
Au2 Au 0.2500 0.7500 0.5000 1
Li1 Li 0.5000 0.5000 0.0000 1
Zr1 Zr 0.7500 0.2500 0.5000 1

# LiZrAu2 (PBE, optimized geometry)
# Excess energy over the best structure of this formula in the dataset ... 93 kJ/mol of formula units
# ΔH_f (0 K) ... -290.0 meV per atom
# Crystal system ... trigonal
data_LiZrAu2
_chemical_formula_sum 'Li1 Zr1 Au2'
_symmetry_space_group_name_H-M 'P 1'
_symmetry_Int_Tables_number 1
_symmetry_space_group_name_Hall 'P 1'
_cell_length_a 9.0582
_cell_length_b 9.0582
_cell_length_c 9.0582
_cell_angle_alpha 19.85
_cell_angle_beta 19.85
_cell_angle_gamma 19.85
loop_
_atom_site_label
_atom_site_type_symbol
_atom_site_fract_x
_atom_site_fract_y
_atom_site_fract_z
_atom_site_occupancy
Au1 Au 0.0046 0.0046 0.0046 1
Au2 Au 0.4954 0.4954 0.4954 1
Li1 Li 0.7500 0.7500 0.7500 1
Zr1 Zr 0.2500 0.2500 0.2500 1